A relaxed structure of BaSm2ErO5. Source: Alexandria, functional PBE.

For the calculated volume, the calculation gives 150.7 Å³/f.u. Its uncorrected formation energy is -3.05 eV per atom.

Cell: 6.9799 6.9799 6.9799 Å, 144.98 128.65 63.67°
Fractional coordinates of all 9 atoms:
Ba1 0.0000 0.0000 0.0000
Sm1 0.2823 0.7823 0.5000
Sm2 0.7177 0.2177 0.5000
Er1 0.5000 0.5000 0.0000
O1 0.1159 0.3534 0.7625
O2 0.4092 0.6466 0.7625
O3 0.5000 0.0000 0.5000
O4 0.5908 0.3534 0.2375
O5 0.8841 0.6466 0.2375

A relaxed structure of Ba2ErSnO6. Source: Alexandria, functional PBE.

For the calculated volume, the calculation gives 158.9 Å³/f.u. Its uncorrected formation energy is -2.52 eV per atom.

Cell: 6.0797 6.0797 6.0797 Å, 60.00 60.00 60.00°
Fractional coordinates of all 10 atoms:
Ba1 0.2500 0.2500 0.2500
Ba2 0.7500 0.7500 0.7500
Er1 0.0000 0.0000 0.0000
Sn1 0.5000 0.5000 0.5000
O1 0.2576 0.2576 0.7424
O2 0.2576 0.7424 0.2576
O3 0.2576 0.7424 0.7424
O4 0.7424 0.2576 0.2576
O5 0.7424 0.2576 0.7424
O6 0.7424 0.7424 0.2576

A relaxed structure of Ba4ErSn3O12. Source: Alexandria, functional PBE.

For the calculated volume, the calculation gives 306.4 Å³/f.u. Its uncorrected formation energy is -2.35 eV per atom.

Cell: 7.3558 7.3558 7.3558 Å, 109.47 109.47 109.47°
Fractional coordinates of all 20 atoms:
Ba1 0.0000 0.0000 0.5000
Ba2 0.0000 0.5000 0.0000
Ba3 0.5000 0.0000 0.0000
Ba4 0.5000 0.5000 0.5000
Er1 0.0000 0.0000 0.0000
Sn1 0.0000 0.5000 0.5000
Sn2 0.5000 0.0000 0.5000
Sn3 0.5000 0.5000 0.0000
O1 0.0000 0.2599 0.2599
O2 0.0000 0.7401 0.7401
O3 0.2500 0.5000 0.7500
O4 0.2500 0.7500 0.5000
O5 0.2599 0.0000 0.2599
O6 0.2599 0.2599 0.0000
O7 0.5000 0.2500 0.7500
O8 0.5000 0.7500 0.2500
O9 0.7401 0.0000 0.7401
O10 0.7401 0.7401 0.0000
O11 0.7500 0.2500 0.5000
O12 0.7500 0.5000 0.2500

A relaxed structure of Ba2ErTa3O12. Source: Alexandria, functional PBE.

For the calculated volume, the calculation gives 286.0 Å³/f.u. Its uncorrected formation energy is -2.73 eV per atom.

Cell: 7.2055 7.2055 7.2055 Å, 63.67 63.67 63.67°
Fractional coordinates of all 18 atoms:
Ba1 0.1297 0.1297 0.1297
Ba2 0.8703 0.8703 0.8703
Er1 0.5000 0.5000 0.5000
Ta1 0.0000 0.5000 0.5000
Ta2 0.5000 0.0000 0.5000
Ta3 0.5000 0.5000 0.0000
O1 0.1238 0.6125 0.6125
O2 0.2081 0.2081 0.5836
O3 0.2081 0.5836 0.2081
O4 0.3875 0.3875 0.8762
O5 0.3875 0.8762 0.3875
O6 0.4164 0.7919 0.7919
O7 0.5836 0.2081 0.2081
O8 0.6125 0.1238 0.6125
O9 0.6125 0.6125 0.1238
O10 0.7919 0.4164 0.7919
O11 0.7919 0.7919 0.4164
O12 0.8762 0.3875 0.3875

A relaxed structure of Ba2ErTcO6. Source: Alexandria, functional PBE.

For the calculated volume, the calculation gives 157.4 Å³/f.u. Its uncorrected formation energy is -2.52 eV per atom.

Cell: 10.6093 10.6093 10.6093 Å, 32.98 32.98 32.98°
Fractional coordinates of all 20 atoms:
Ba1 0.1341 0.1341 0.1341
Ba2 0.2813 0.2813 0.2813
Ba3 0.7187 0.7187 0.7187
Ba4 0.8659 0.8659 0.8659
Er1 0.4059 0.4059 0.4059
Er2 0.5941 0.5941 0.5941
Tc1 0.0000 0.0000 0.0000
Tc2 0.5000 0.5000 0.5000
O1 0.1503 0.6155 0.6155
O2 0.1921 0.1921 0.7288
O3 0.1921 0.7288 0.1921
O4 0.2712 0.8079 0.8079
O5 0.3845 0.3845 0.8497
O6 0.3845 0.8497 0.3845
O7 0.6155 0.1503 0.6155
O8 0.6155 0.6155 0.1503
O9 0.7288 0.1921 0.1921
O10 0.8079 0.2712 0.8079
O11 0.8079 0.8079 0.2712
O12 0.8497 0.3845 0.3845

A relaxed structure of Ba2ErTe3O12. Source: Alexandria, functional PBE.

For the calculated volume, the calculation gives 288.6 Å³/f.u. Its uncorrected formation energy is -1.79 eV per atom.

Cell: 7.3606 7.3606 7.3606 Å, 61.04 61.04 61.04°
Fractional coordinates of all 18 atoms:
Ba1 0.1330 0.1330 0.1330
Ba2 0.8670 0.8670 0.8670
Er1 0.5000 0.5000 0.5000
Te1 0.0000 0.5000 0.5000
Te2 0.5000 0.0000 0.5000
Te3 0.5000 0.5000 0.0000
O1 0.1296 0.5982 0.5982
O2 0.1916 0.1916 0.5941
O3 0.1916 0.5941 0.1916
O4 0.4018 0.4018 0.8704
O5 0.4018 0.8704 0.4018
O6 0.4059 0.8084 0.8084
O7 0.5941 0.1916 0.1916
O8 0.5982 0.1296 0.5982
O9 0.5982 0.5982 0.1296
O10 0.8084 0.4059 0.8084
O11 0.8084 0.8084 0.4059
O12 0.8704 0.4018 0.4018

A relaxed structure of BaErTe2O8. Source: Alexandria, functional PBE.

For the calculated volume, the calculation gives 243.4 Å³/f.u. Its uncorrected formation energy is -1.76 eV per atom.

Cell: 6.0486 6.0486 7.6828 Å, 90.00 90.00 120.00°
Fractional coordinates of all 12 atoms:
Ba1 0.0000 0.0000 0.0000
Er1 0.0000 0.0000 0.5000
Te1 0.3333 0.6667 0.7580
Te2 0.6667 0.3333 0.2420
O1 0.1538 0.3165 0.6938
O2 0.1627 0.8462 0.6938
O3 0.3165 0.1627 0.3062
O4 0.3333 0.6667 0.9976
O5 0.6667 0.3333 0.0024
O6 0.6835 0.8373 0.6938
O7 0.8373 0.1538 0.3062
O8 0.8462 0.6835 0.3062

A relaxed structure of Ba3ErTe2O9. Source: Alexandria, functional PBE.

For the calculated volume, the calculation gives 240.8 Å³/f.u. Its uncorrected formation energy is -2.25 eV per atom.

Cell: 6.0982 6.0982 7.4768 Å, 90.00 90.00 120.00°
Fractional coordinates of all 15 atoms:
Ba1 0.0000 0.0000 0.0000
Ba2 0.3333 0.6667 0.6768
Ba3 0.6667 0.3333 0.3232
Er1 0.0000 0.0000 0.5000
Te1 0.3333 0.6667 0.1738
Te2 0.6667 0.3333 0.8262
O1 0.0000 0.5000 0.0000
O2 0.1733 0.3465 0.3310
O3 0.1733 0.8267 0.3310
O4 0.3465 0.1733 0.6690
O5 0.5000 0.0000 0.0000
O6 0.5000 0.5000 0.0000
O7 0.6535 0.8267 0.3310
O8 0.8267 0.1733 0.6690
O9 0.8267 0.6535 0.6690

A relaxed structure of Ba2ErTlO5. Source: Alexandria, functional PBE.

For the calculated volume, the calculation gives 156.8 Å³/f.u. Its uncorrected formation energy is -2.32 eV per atom.

Cell: 7.6751 7.6751 11.6449 Å, 90.00 90.00 152.80°
Fractional coordinates of all 18 atoms:
Ba1 0.1097 0.8903 0.5000
Ba2 0.1405 0.8595 0.0985
Ba3 0.8595 0.1405 0.5985
Ba4 0.8903 0.1097 0.0000
Er1 0.2184 0.7816 0.8189
Er2 0.7816 0.2184 0.3189
Tl1 0.4764 0.5236 0.2705
Tl2 0.5236 0.4764 0.7705
O1 0.0623 0.9377 0.8659
O2 0.2796 0.7204 0.4446
O3 0.3099 0.6901 0.1970
O4 0.3661 0.6339 0.8080
O5 0.4939 0.5061 0.5905
O6 0.5061 0.4939 0.0905
O7 0.6339 0.3661 0.3080
O8 0.6901 0.3099 0.6970
O9 0.7204 0.2796 0.9446
O10 0.9377 0.0623 0.3659

A relaxed structure of Ba2ErTlO6. Source: Alexandria, functional PBE.

For the calculated volume, the calculation gives 167.1 Å³/f.u. Its uncorrected formation energy is -2.01 eV per atom.

Cell: 6.1850 6.1850 6.1850 Å, 120.08 120.08 89.87°
Fractional coordinates of all 10 atoms:
Ba1 0.2500 0.7500 0.5000
Ba2 0.7500 0.2500 0.5000
Er1 0.0000 0.0000 0.0000
Tl1 0.5000 0.5000 0.0000
O1 0.2488 0.2488 0.0000
O2 0.2493 0.2493 0.4987
O3 0.2493 0.7507 0.0000
O4 0.7507 0.2493 0.0000
O5 0.7512 0.7512 0.0000
O6 0.7507 0.7507 0.5013

A relaxed structure of Ba3ErTl2O6. Source: Alexandria, functional PBE.

For the calculated volume, the calculation gives 242.7 Å³/f.u. Its uncorrected formation energy is -2.14 eV per atom.

Cell: 6.2831 6.2831 7.0995 Å, 90.00 90.00 120.00°
Fractional coordinates of all 12 atoms:
Ba1 0.0000 0.0000 0.0000
Ba2 0.3333 0.6667 0.6122
Ba3 0.6667 0.3333 0.3878
Er1 0.0000 0.0000 0.5000
Tl1 0.3333 0.6667 0.1280
Tl2 0.6667 0.3333 0.8720
O1 0.1649 0.3297 0.3146
O2 0.1649 0.8351 0.3146
O3 0.3297 0.1649 0.6854
O4 0.6703 0.8351 0.3146
O5 0.8351 0.1649 0.6854
O6 0.8351 0.6703 0.6854

A relaxed structure of Ba2ErTl2O6. Source: Alexandria, functional PBE.

For the calculated volume, the calculation gives 221.2 Å³/f.u. Its uncorrected formation energy is -1.83 eV per atom.

Cell: 7.1153 7.1153 7.1153 Å, 54.37 54.37 54.37°
Fractional coordinates of all 11 atoms:
Ba1 0.1998 0.1998 0.1998
Ba2 0.8002 0.8002 0.8002
Er1 0.0000 0.0000 0.0000
Tl1 0.3986 0.3986 0.3986
Tl2 0.6014 0.6014 0.6014
O1 0.2059 0.7678 0.7678
O2 0.2322 0.2322 0.7941
O3 0.2322 0.7941 0.2322
O4 0.7678 0.2059 0.7678
O5 0.7678 0.7678 0.2059
O6 0.7941 0.2322 0.2322